DFT (GGA-PBE) results for a relaxed structure of YGa2Ge.

```
YGa2Ge
1.0
7.725 0.000 0.000
0.000 7.725 0.000
3.862 3.862 2.891
Ge Ga Y
2 4 2
direct
0.500 0.500 0.000
0.250 0.750 0.500
0.581 0.125 0.250
0.875 0.831 0.750
0.169 0.625 0.250
0.375 0.419 0.750
0.000 0.000 0.000
0.750 0.250 0.500
```

Calculated values
As for the crystal system: tetragonal. As for the symmetry: I-42d, No. 122. The energy of formation comes out at -1.380 eV/f.u. The value obtained for the total energy is -37.0 eV for the cell shown.

DFT (GGA-PBE) results for a relaxed structure of Nd4Dy4Ho3.

```
Nd4Dy4Ho3
1.0
-2.720 1.405 -1.767
-3.218 -4.459 1.407
-8.220 6.944 14.638
Dy Nd Ho
4 4 3
direct
0.319 0.819 0.361
0.681 0.181 0.639
0.454 0.454 0.091
0.546 0.546 0.909
0.591 0.091 0.819
0.409 0.909 0.181
0.732 0.732 0.536
0.268 0.268 0.464
0.136 0.636 0.729
0.000 0.000 0.000
0.864 0.364 0.271
```

Calculated values
As for the crystal system: triclinic. As for the symmetry: P-1, No. 2. The energy above the most stable polymorph in this dataset is 0.0 meV per atom. The energy of formation comes out at 0.684 eV/f.u. The value obtained for the total energy is -50.5 eV for the cell shown.

DFT (GGA-PBE) results for a relaxed structure of PrAl2GaIr2.

```
PrAl2GaIr2
1.0
4.626 0.000 0.000
0.000 4.626 0.000
0.000 0.000 5.711
Ir Al Ga Pr
2 2 1 1
direct
0.000 0.500 0.000
0.500 0.000 0.000
0.500 0.500 0.752
0.500 0.500 0.248
0.000 0.000 0.000
0.000 0.000 0.500
```

Calculated values
As for the crystal system: tetragonal. As for the symmetry: P4/mmm, No. 123. The energy of formation comes out at -1.839 eV/f.u. The value obtained for the total energy is -34.9 eV for the cell shown.

DFT (GGA-PBE) results for a relaxed structure of AgSeO3.

```
AgSeO3
1.0
-3.734 1.776 -0.267
-4.794 -1.264 4.685
5.489 6.328 1.636
Ag Se O
2 2 6
direct
0.843 0.464 0.058
0.016 0.632 0.773
0.476 0.025 0.200
0.383 0.070 0.631
0.012 0.168 0.135
0.846 0.927 0.696
0.380 0.278 0.566
0.182 0.325 0.837
0.677 0.771 0.993
0.478 0.818 0.265
```

Calculated values
As for the crystal system: triclinic. The raw formation energy is -0.451 eV/atom. As for the symmetry: P-1, No. 2. The value obtained for the total energy is -46.9 eV for the cell shown.

DFT (GGA-PBE) results for a relaxed structure of RbNa2TeO4.

```
RbNa2TeO4
1.0
-7.380 -0.521 -1.533
2.706 -6.508 -2.723
1.526 1.331 6.242
O Rb Na Te
8 2 4 2
direct
0.243 0.257 0.467
0.196 0.864 0.030
0.636 0.304 0.470
0.757 0.743 0.967
0.757 0.743 0.533
0.243 0.257 0.033
0.364 0.696 0.530
0.804 0.136 0.970
0.000 0.500 0.000
0.000 0.500 0.500
0.500 0.500 0.000
0.500 0.000 0.000
0.000 0.000 0.500
0.500 0.000 0.500
0.000 0.000 0.000
0.500 0.500 0.500
```

Calculated values
As for the crystal system: orthorhombic. The raw formation energy is -1.192 eV/atom. As for the symmetry: Imma, No. 74. The value obtained for the total energy is -72.2 eV for the cell shown.

DFT (GGA-PBE) results for a relaxed structure of LaPHO2.

```
LaPHO2
1.0
-2.491 -2.682 2.226
-2.044 -1.093 -3.603
2.109 -2.358 -0.481
O P La H
2 1 1 1
direct
0.000 0.500 0.000
0.500 0.000 0.000
0.000 0.000 0.500
0.500 0.500 0.500
0.000 0.000 0.000
```

Calculated values
As for the crystal system: tetragonal. As for the symmetry: P4/mmm, No. 123. The energy above the most stable polymorph in this dataset is 0.0 meV per atom. The value obtained for the total energy is -28.0 eV for the cell shown.

DFT (GGA-PBE) results for a relaxed structure of Tb3SmPt.

```
Tb3SmPt
1.0
-2.950 0.561 -4.617
2.141 -4.690 -1.938
-4.129 -2.833 2.294
Tb Pt Sm
3 1 1
direct
0.500 0.000 0.000
0.000 0.000 0.500
0.000 0.500 0.000
0.000 0.000 0.000
0.500 0.500 0.500
```

Calculated values
As for the crystal system: cubic. As for the symmetry: Pm-3m, No. 221. The energy above the most stable polymorph in this dataset is 122.0 meV per atom. The energy of formation comes out at -1.683 eV/f.u. The value obtained for the total energy is -26.3 eV for the cell shown.

DFT (GGA-PBE) results for a relaxed structure of La2GaTeI.

```
La2GaTeI
1.0
5.988 0.000 0.000
0.000 5.379 0.000
0.000 0.000 5.988
Te La I Ga
1 2 1 1
direct
0.500 0.500 0.500
0.000 0.000 0.500
0.500 0.000 0.000
0.000 0.000 0.000
0.000 0.500 0.000
```

Calculated values
As for the crystal system: tetragonal. The raw formation energy is -0.100 eV/atom. As for the symmetry: P4/mmm, No. 123. The energy above the most stable polymorph in this dataset is 0.0 meV per atom. The value obtained for the total energy is -18.1 eV for the cell shown.

DFT (GGA-PBE) results for a relaxed structure of TaPRuS2.

```
TaPRuS2
1.0
-1.994 3.969 1.569
0.260 -1.616 4.417
4.420 2.030 0.482
Ru P Ta S
1 1 1 2
direct
0.500 0.500 0.500
0.000 0.000 0.500
0.000 0.000 0.000
0.000 0.500 0.000
0.500 0.000 0.000
```

Calculated values
As for the crystal system: tetragonal. The raw formation energy is 0.647 eV/atom. As for the symmetry: P4/mmm, No. 123. The energy above the most stable polymorph in this dataset is 0.0 meV per atom. The value obtained for the total energy is -31.6 eV for the cell shown.

DFT (GGA-PBE) results for a relaxed structure of CaTaPb2.

```
CaTaPb2
1.0
-0.635 0.971 3.162
-3.308 -0.203 -0.603
0.043 -8.401 2.588
Ca Pb Ta
1 2 1
direct
0.500 0.500 0.750
0.000 0.000 0.022
0.000 0.000 0.478
0.500 0.500 0.250
```

Calculated values
As for the crystal system: tetragonal. As for the symmetry: P4/mmm, No. 123. The energy of formation comes out at 0.760 eV/f.u. The value obtained for the total energy is -20.5 eV for the cell shown.

DFT (GGA-PBE) results for a relaxed structure of Pm4SmTm3.

```
Pm4SmTm3
1.0
-4.081 -1.152 4.653
5.526 -1.904 4.374
0.955 10.887 3.533
Tm Sm Pm
6 2 8
direct
0.981 0.621 0.750
0.481 0.379 0.750
0.481 0.379 0.250
0.148 0.380 0.500
0.981 0.621 0.250
0.648 0.620 0.000
0.149 0.376 0.000
0.649 0.624 0.500
0.482 0.874 0.754
0.642 0.129 0.500
0.652 0.129 0.000
0.482 0.874 0.246
0.982 0.126 0.746
0.142 0.871 0.000
0.982 0.126 0.254
0.152 0.871 0.500
```

Calculated values
As for the crystal system: orthorhombic. As for the symmetry: Pmn2_1, No. 31. The energy above the most stable polymorph in this dataset is 0.0 meV per atom. The energy of formation comes out at 0.199 eV/f.u. The value obtained for the total energy is -73.9 eV for the cell shown.

DFT (GGA-PBE) results for a relaxed structure of RbTe2Os.

```
RbTe2Os
1.0
0.000 3.649 3.649
3.649 0.000 3.649
3.649 3.649 0.000
Te Os Rb
2 1 1
direct
0.750 0.750 0.750
0.250 0.250 0.250
0.500 0.500 0.500
0.000 0.000 0.000
```

Calculated values
As for the crystal system: cubic. The raw formation energy is 0.728 eV/atom. As for the symmetry: Fm-3m, No. 225. The energy above the most stable polymorph in this dataset is 795.5 meV per atom. The value obtained for the total energy is -15.6 eV for the cell shown.